(1)
First-principles (GGA-PBE) data for Ce9Tl2In after structural relaxation, as listed in Alexandria.

POSCAR file:
```
Ce9Tl2In
1.0
4.8172 0.0000 0.0000
0.0000 4.8172 0.0000
0.0000 0.0000 14.4562
In Ce Tl
1 9 2
direct
0.0000 0.0000 0.0000
0.0000 0.5000 0.8345
0.0000 0.5000 0.5000
0.5000 0.0000 0.1655
0.5000 0.0000 0.5000
0.5000 0.5000 0.0000
0.5000 0.5000 0.3327
0.5000 0.0000 0.8345
0.5000 0.5000 0.6673
0.0000 0.5000 0.1655
0.0000 0.0000 0.6670
0.0000 0.0000 0.3330
```

Summary:
Energy of formation from the pure elements (eV per atom): -0.145
Density of states at the Fermi level (states/eV/cell): 38.6

***

(2)
First-principles (GGA-PBE) data for Sc2ZnSb after structural relaxation, as listed in Alexandria.

POSCAR file:
```
Sc2ZnSb
1.0
7.9350 -5.6972 3.2534
9.5151 -3.7947 1.0349
9.0391 -2.6892 4.1316
Zn Sb Sc
1 1 2
direct
0.5000 0.5000 0.5000
0.0000 0.0000 0.0000
0.9028 0.9028 0.9028
0.0972 0.0972 0.0972
```

Summary:
Density of states at the Fermi level (states/eV/cell): 4.0
Formation energy (no corrections) (meV per atom): -34

***

(3)
First-principles (GGA-PBE) data for Sc4Os after structural relaxation, as listed in Alexandria.

POSCAR file:
```
Sc4Os
1.0
-3.2041 3.2041 2.5537
3.2041 -3.2041 2.5537
3.2041 3.2041 -2.5537
Sc Os
4 1
direct
0.8102 0.6412 0.4515
0.3588 0.8102 0.1690
0.1898 0.3588 0.5485
0.6412 0.1898 0.8310
0.0000 0.0000 0.0000
```

Summary:
Energy of formation from the pure elements (eV per atom): -0.112
Density of states at the Fermi level (states/eV/cell): 7.2

***

(4)
First-principles (GGA-PBE) data for Ho2TlTcC after structural relaxation, as listed in Alexandria.

POSCAR file:
```
Ho2TlTcC
1.0
4.0304 0.0000 0.0000
0.0000 4.9768 0.0000
0.0000 0.0000 4.9768
Ho C Tc Tl
2 1 1 1
direct
0.0000 0.0000 0.5000
0.0000 0.5000 0.0000
0.0000 0.0000 0.0000
0.5000 0.0000 0.0000
0.5000 0.5000 0.5000
```

Summary:
Energy of formation from the pure elements (eV per atom): -0.331
Density of states at the Fermi level (states/eV/cell): 2.2

***

(5)
First-principles (GGA-PBE) data for RbHoPb2I8 after structural relaxation, as listed in Alexandria.

POSCAR file:
```
RbHoPb2I8
1.0
7.8121 0.0619 -0.0023
0.1123 7.3831 0.0000
0.0107 0.0224 9.8686
Rb I Pb Ho
1 8 2 1
direct
0.0000 0.0000 0.5000
0.6752 0.7679 0.9997
0.3248 0.2321 0.0003
0.1515 0.7513 0.2140
0.6236 0.7334 0.4995
0.8485 0.2487 0.7860
0.8472 0.2476 0.2134
0.3764 0.2666 0.5005
0.1528 0.7524 0.7866
0.5002 0.4997 0.7511
0.4998 0.5003 0.2489
0.0000 0.0000 0.0000
```

Summary:
Density of states at the Fermi level (states/eV/cell): 0.0
Formation energy (no corrections) (meV per atom): -987

***

(6)
First-principles (GGA-PBE) data for DyAlZn2Pd4 after structural relaxation, as listed in Alexandria.

POSCAR file:
```
DyAlZn2Pd4
1.0
4.4779 0.0000 0.0000
2.2389 3.8780 0.0000
2.2389 1.2927 7.4986
Zn Dy Pd Al
2 1 4 1
direct
0.7505 0.7505 0.7486
0.2495 0.2495 0.2514
0.0000 0.0000 0.0000
0.8692 0.8692 0.3924
0.3896 0.3896 0.8311
0.6104 0.6104 0.1689
0.1308 0.1308 0.6076
0.5000 0.5000 0.5000
```

Summary:
Energy of formation from the pure elements (eV per atom): -0.726
Density of states at the Fermi level (states/eV/cell): 2.5

***

(7)
First-principles (GGA-PBE) data for Zr2CdRh after structural relaxation, as listed in Alexandria.

POSCAR file:
```
Zr2CdRh
1.0
3.3195 0.0000 0.0000
0.0000 3.3478 0.0343
0.0000 3.2654 7.2217
Zr Cd Rh
2 1 1
direct
0.0000 0.0259 0.9727
0.0000 0.4741 0.5273
0.5000 0.2500 0.2500
0.5000 0.7500 0.7500
```

Summary:
Energy of formation from the pure elements (eV per atom): -0.399
Density of states at the Fermi level (states/eV/cell): 2.8

***

(8)
First-principles (GGA-PBE) data for CsVTe3 after structural relaxation, as listed in Alexandria.

POSCAR file:
```
CsVTe3
1.0
-5.7255 2.0811 -1.9902
-0.1095 -4.5836 -4.4779
-2.8775 -3.9665 4.1304
Te Cs V
3 1 1
direct
0.5000 0.0000 0.0000
0.0000 0.0000 0.5000
0.0000 0.5000 0.0000
0.0000 0.0000 0.0000
0.5000 0.5000 0.5000
```

Summary:
Density of states at the Fermi level (states/eV/cell): 10.1
Formation energy (no corrections) (meV per atom): 1469